Os2RuBr: optimized geometry, GGA-PBEsol.

Results
raw formation energy = 0.67 eV per atom
energy above the most stable polymorph in this dataset = 0.000 eV per atom
calculated total energy = -0.6208 Ry/atom

Geometry as POSCAR:
```
Os2RuBr
1.0
1.404 0.810 8.657
-1.404 0.810 8.657
0.000 -1.621 8.657
Os Ru Br
2 1 1
Cartesian
0.000 0.000 0.000
0.000 0.000 6.569
0.000 0.000 19.436
0.000 0.000 12.905
```